Entry 1:
# BaLi2NiHg

Crystalline BaLi2NiHg at its relaxed geometry (PBE, the Alexandria database).

a b c (Å): 4.9617 4.9617 5.1263
angles (deg): 90.00 90.00 90.00
Last column: nearest neighbours and their distance in Å.
Space group P4/mmm (No. 123)
Unique sites:
Ba: 0.0000 0.0000 0.0000 (multiplicity 1)  4 Hg 3.51, 8 Li 3.57
Li: 0.0000 0.5000 0.5000 (multiplicity 2)  2 Ni 2.48
Ni: 0.5000 0.5000 0.5000 (multiplicity 1)  4 Li 2.48, 2 Hg 2.56
Hg: 0.5000 0.5000 0.0000 (multiplicity 1)  2 Ni 2.56

Values from the calculation:
- ρ (g cm⁻³) = 5.4
- formation enthalpy at 0 K (meV per atom) = -38.7

Entry 2:
# CsSnHg2Bi

Crystalline CsSnHg2Bi at its relaxed geometry (PBE, the Alexandria database).

a b c (Å): 5.9390 5.9390 6.0606
angles (deg): 90.00 90.00 90.00
Last column: nearest neighbours and their distance in Å.
Space group P4/mmm (No. 123)
Unique sites:
Cs: 0.0000 0.0000 0.0000 (multiplicity 1)  4 Bi 4.20, 8 Hg 4.24
Sn: 0.5000 0.5000 0.5000 (multiplicity 1)  4 Hg 2.97, 2 Bi 3.03
Hg: 0.0000 0.5000 0.5000 (multiplicity 2)  2 Sn 2.97
Bi: 0.5000 0.5000 0.0000 (multiplicity 1)  2 Sn 3.03

Values from the calculation:
- ρ (g cm⁻³) = 6.7
- formation enthalpy at 0 K (meV per atom) = -66.8

Entry 3:
# CaTa2Se

Crystalline CaTa2Se at its relaxed geometry (PBE, the Alexandria database).

a b c (Å): 8.9954 3.2948 6.3032
angles (deg): 90.00 103.15 90.00
Last column: nearest neighbours and their distance in Å.
Space group Cm (No. 8)
Unique sites:
Ca: 0.0000 0.0000 0.0000 (multiplicity 2)  2 Se 3.02, 1 Ta 3.21, 2 Ca 3.29
Ta: 0.2129 0.0000 0.6546 (multiplicity 2)  2 Se 2.74, 3 Ta 2.74-2.77
Ta: 0.4670 0.0000 0.4827 (multiplicity 2)  3 Se 2.70-2.82, 3 Ta 2.74-2.77
Se: 0.2315 0.5000 0.3140 (multiplicity 2)  5 Ta 2.70-2.82, 2 Ca 3.02

Values from the calculation:
- ρ (g cm⁻³) = 8.8
- total DFT energy (no corrections) (eV/atom) = -7.184

Entry 4:
# V6As3C

Crystalline V6As3C at its relaxed geometry (PBE, the Alexandria database).

a b c (Å): 9.7177 5.2307 6.6175
angles (deg): 90.00 121.39 90.00
Last column: nearest neighbours and their distance in Å.
Space group C2/m (No. 12)
Unique sites:
V: 0.0930 0.2458 0.3704 (multiplicity 8)  1 C 2.00
V: 0.2079 0.0000 0.8126 (multiplicity 4)  1 C 2.00
As: 0.0000 0.5000 0.0000 (multiplicity 2)  6 V 2.43-2.51
As: 0.2420 0.5000 0.7676 (multiplicity 4)  7 V 2.56-2.67
C: 0.0000 0.0000 0.5000 (multiplicity 2)  6 V 2.00

Values from the calculation:
- ρ (g cm⁻³) = 6.3
- formation enthalpy at 0 K (meV per atom) = -236.0